[1]
Compound: Cu2Ag2S
Source: the Alexandria database
Functional: PBE-GGA
Structure: optimized geometry

ΔE_f (raw) = 0.0823 eV per atom

Cell: 6.130 6.130 4.219 Å, 90.00 90.00 90.00°
Atoms (fractional coordinates):
Cu 0.356 0.856 0.000
Ag 0.341 0.159 0.500
Ag 0.659 0.841 0.500
S 0.500 0.500 0.000
Cu 0.644 0.144 0.000
Ag 0.841 0.341 0.500
S 0.000 0.000 0.000
Cu 0.144 0.356 0.000
Cu 0.856 0.644 0.000
Ag 0.159 0.659 0.500

[2]
Compound: Pr6Pd2N
Source: the Alexandria database
Functional: PBE-GGA
Structure: optimized geometry

ΔE_f (raw) = -0.6261 eV per atom

Cell: 6.698 7.367 10.176 Å, 90.00 89.35 90.00°
Atoms (fractional coordinates):
Pd 0.057 0.602 0.750
Pd 0.557 0.898 0.250
Pr 0.374 0.532 0.237
Pr 0.814 0.672 0.059
Pr 0.874 0.968 0.737
Pr 0.670 0.193 0.058
Pr 0.170 0.307 0.558
N 0.000 0.000 0.500
Pr 0.186 0.328 0.941
Pr 0.314 0.828 0.559
N 0.500 0.500 0.000
Pr 0.126 0.032 0.263
Pr 0.626 0.468 0.763
Pr 0.686 0.172 0.441
Pd 0.443 0.102 0.750
Pd 0.943 0.398 0.250
Pr 0.830 0.693 0.442
Pr 0.330 0.807 0.942

[3]
Compound: La2GaCl
Source: the Alexandria database
Functional: PBE-GGA
Structure: optimized geometry

Energy relative to the lowest polymorph listed for this composition = 0.153 eV/atom
ΔE_f (raw) = -0.8893 eV per atom

Cell: 5.327 5.327 5.327 Å, 60.00 60.00 60.00°
Atoms (fractional coordinates):
La 0.250 0.250 0.250
La 0.750 0.750 0.750
Ga 0.500 0.500 0.500
Cl 0.000 0.000 0.000

[4]
Compound: HgTe2Se
Source: the Alexandria database
Functional: PBE-GGA
Structure: optimized geometry

Energy relative to the lowest polymorph listed for this composition = 0.172 eV/atom
ΔE_f (raw) = 0.1771 eV per atom

Cell: 11.210 11.210 11.210 Å, 20.55 20.55 20.55°
Atoms (fractional coordinates):
Se 0.500 0.500 0.500
Hg 0.000 0.000 0.000
Te 0.886 0.886 0.886
Te 0.114 0.114 0.114

[5]
Compound: Dy2ThOs2
Source: the Alexandria database
Functional: PBE-GGA
Structure: optimized geometry

DFT formation energy = -172 meV/atom

Cell: 4.395 5.628 11.539 Å, 116.07 90.00 90.00°
Atoms (fractional coordinates):
Dy 0.750 0.230 0.123
Th 0.750 0.183 0.797
Os 0.250 0.904 0.650
Os 0.750 0.096 0.350
Os 0.750 0.672 0.020
Dy 0.250 0.770 0.877
Th 0.250 0.817 0.203
Dy 0.250 0.287 0.531
Os 0.250 0.328 0.980
Dy 0.750 0.713 0.469

[6]
Compound: Ta2TiIn
Source: the Alexandria database
Functional: PBE-GGA
Structure: optimized geometry

DFT formation energy = 516 meV/atom

Cell: 3.972 3.972 10.561 Å, 79.16 79.16 90.00°
Atoms (fractional coordinates):
Ta 0.617 0.125 0.250
In 0.750 0.250 0.500
Ti 0.250 0.750 0.500
Ta 0.133 0.625 0.250
In 0.000 0.000 0.000
Ta 0.875 0.867 0.750
Ti 0.500 0.500 0.000
Ta 0.375 0.383 0.750

[7]
Compound: Pm7Mg2Ni2
Source: the Alexandria database
Functional: PBE-GGA
Structure: optimized geometry

Energy relative to the lowest polymorph listed for this composition = 0.058 eV/atom
DFT formation energy = -20 meV/atom

Cell: 6.956 7.374 6.956 Å, 90.00 110.86 90.00°
Atoms (fractional coordinates):
Pm 0.000 0.755 0.500
Pm 0.500 0.771 0.500
Pm 0.500 0.245 0.000
Pm 0.500 0.229 0.500
Ni 0.296 0.000 0.704
Mg 0.175 0.500 0.175
Pm 0.000 0.245 0.500
Ni 0.704 0.000 0.296
Mg 0.825 0.500 0.825
Pm 0.000 0.000 0.000
Pm 0.500 0.755 0.000

[8]
Compound: Cs6HgBr5
Source: the Alexandria database
Functional: PBE-GGA
Structure: optimized geometry

ΔE_f (raw) = -1.4581 eV per atom

Cell: 9.052 9.412 9.131 Å, 58.98 80.33 70.97°
Atoms (fractional coordinates):
Cs 0.742 0.438 0.654
Cs 0.749 0.730 0.000
Cs 0.258 0.562 0.346
Br 0.500 0.500 0.000
Br 0.000 0.675 0.650
Cs 0.742 0.092 0.346
Hg 0.000 0.000 0.000
Br 0.500 0.840 0.320
Br 0.500 0.160 0.680
Br 0.000 0.325 0.350
Cs 0.258 0.908 0.654
Cs 0.251 0.270 0.000

[9]
Compound: SbIrRh2
Source: the Alexandria database
Functional: PBE-GGA
Structure: optimized geometry

ΔE_f (raw) = 0.5663 eV per atom

Cell: 5.277 5.277 7.570 Å, 69.60 69.60 90.00°
Atoms (fractional coordinates):
Ir 0.750 0.250 0.500
Ir 0.000 0.000 0.000
Sb 0.500 0.500 0.000
Rh 0.375 0.344 0.750
Sb 0.250 0.750 0.500
Rh 0.875 0.906 0.750
Rh 0.094 0.625 0.250
Rh 0.656 0.125 0.250